1.
KHg2Au after structural relaxation, computed with PBE.

Calculated values
The calculation puts the energy above the most stable polymorph in this dataset at 107 meV/atom. The value obtained for the total energy is -1.40 eV/atom. Its crystal system is tetragonal. The calculated volume comes out at 116.4 Å³ per cell. The energy of formation from the pure elements is -0.156 eV per atom.

Cell lengths 3.962, 3.962, 7.418 Å; angles 90.00, 90.00, 90.00 degrees
Space group P4mm (No. 99)
Unique sites:
K: 0.000 0.000 0.000
Hg: 0.000 0.000 0.457
Hg: 0.500 0.500 0.693
Au: 0.500 0.500 0.284

=====

2.
RbTl2BPb after structural relaxation, computed with PBE.

Calculated values
The value obtained for the total energy is -2.41 eV/atom. Its crystal system is tetragonal. The calculated volume comes out at 196.2 Å³ per cell. The energy of formation from the pure elements is 0.808 eV per atom.

Cell lengths 6.291, 6.291, 4.958 Å; angles 90.00, 90.00, 90.00 degrees
Space group P4/mmm (No. 123)
Unique sites:
Rb: 0.000 0.000 0.000
Tl: 0.000 0.500 0.500
B: 0.500 0.500 0.000
Pb: 0.500 0.500 0.500

=====

3.
KBaIO after structural relaxation, computed with PBE.

Calculated values
The value obtained for the total energy is -4.12 eV/atom. Its crystal system is trigonal. The calculated volume comes out at 381.6 Å³ per cell. The raw formation energy is -6.94 eV/f.u.

Cell lengths 4.1620, 4.1620, 25.4364 Å; angles 90.00, 90.00, 120.00 degrees
Space group R3m (No. 160, hexagonal axes)
Unique sites:
K: 0.0000 0.0000 0.0000
Ba: 0.0000 0.0000 0.1290
I: 0.0000 0.0000 0.5711
O: 0.0000 0.0000 0.4198

=====

4.
TbErIn3 after structural relaxation, computed with PBE.

Calculated values
The value obtained for the total energy is -3.57 eV/atom. Its crystal system is hexagonal. The calculated volume comes out at 294.4 Å³ per cell. The energy of formation from the pure elements is -0.084 eV per atom.

Cell lengths 7.3289, 7.3289, 6.3285 Å; angles 90.00, 90.00, 120.00 degrees
Space group P6_3/mmc (No. 194)
Unique sites:
Tb: 0.0000 0.0000 0.0000
Er: 0.3333 0.6667 0.2500
In: 0.2032 0.4065 0.7500

=====

5.
Ac2PrGe3Pt4 after structural relaxation, computed with PBE.

Calculated values
The value obtained for the total energy is -6.03 eV/atom. Its crystal system is tetragonal. The calculated volume comes out at 227.4 Å³ per cell. The energy of formation from the pure elements is -0.933 eV per atom.

Cell lengths 4.482, 4.482, 11.320 Å; angles 90.00, 90.00, 90.00 degrees
Space group P-4m2 (No. 115)
Unique sites:
Ac: 0.000 0.500 0.224
Pr: 0.000 0.000 0.500
Ge: 0.000 0.500 0.887
Ge: 0.500 0.500 0.500
Pt: 0.000 0.000 0.000
Pt: 0.000 0.500 0.665
Pt: 0.500 0.500 0.000

=====

6.
Ba2HfOs after structural relaxation, computed with PBE.

Calculated values
The calculation puts the energy above the most stable polymorph in this dataset at 18 meV/atom. The value obtained for the total energy is -6.05 eV/atom. Its crystal system is triclinic. The calculated volume comes out at 140.8 Å³ per cell. The energy of formation from the pure elements is 0.206 eV per atom.

Cell lengths 3.623, 3.999, 10.074 Å; angles 78.71, 79.91, 89.99 degrees
Space group P1 (No. 1)
Unique sites:
Ba: 0.000 0.000 0.000
Ba: 0.208 0.709 0.593
Hf: 0.363 0.364 0.276
Os: 0.842 0.844 0.318

=====

7.
TlCd2Cu after structural relaxation, computed with PBE.

Calculated values
The calculation puts the energy above the most stable polymorph in this dataset at 118 meV/atom. The value obtained for the total energy is -1.87 eV/atom. Its crystal system is trigonal. The calculated volume comes out at 293.5 Å³ per cell. The energy of formation from the pure elements is 0.205 eV per atom.

Cell lengths 3.8961, 3.8961, 22.3252 Å; angles 90.00, 90.00, 120.00 degrees
Space group R3m (No. 160, hexagonal axes)
Unique sites:
Tl: 0.0000 0.0000 0.0000
Cd: 0.0000 0.0000 0.2314
Cd: 0.0000 0.0000 0.4354
Cu: 0.0000 0.0000 0.8341

=====

8.
Rb4Tb6F19 after structural relaxation, computed with PBE.

Calculated values
The value obtained for the total energy is -5.82 eV/atom. Its crystal system is cubic. The calculated volume comes out at 1424.8 Å³ per cell. The raw formation energy is -101.44 eV/f.u.

Cell lengths 11.253, 11.253, 11.253 Å; angles 90.00, 90.00, 90.00 degrees
Space group I23 (No. 197)
Unique sites:
Rb: 0.136 0.136 0.864
Tb: 0.000 0.339 0.500
F: 0.000 0.000 0.000
F: 0.000 0.000 0.381
F: 0.003 0.363 0.697

=====

9.
CsLiOs after structural relaxation, computed with PBE.

Calculated values
The calculation puts the energy above the most stable polymorph in this dataset at 229 meV/atom. The value obtained for the total energy is -4.10 eV/atom. Its crystal system is triclinic. The calculated volume comes out at 227.2 Å³ per cell. The energy of formation from the pure elements is 0.568 eV per atom.

Cell lengths 4.192, 5.253, 11.459 Å; angles 78.49, 86.98, 66.82 degrees
Space group P1 (No. 1)
Unique sites:
Cs: 0.000 0.000 0.000
Cs: 0.445 0.279 0.431
Li: 0.283 0.493 0.788
Li: 0.778 0.544 0.651
Os: 0.055 0.989 0.666
Os: 0.559 0.953 0.762

=====

10.
Cu5Pb3Br12 after structural relaxation, computed with PBE.

Calculated values
The value obtained for the total energy is -3.12 eV/atom. Its crystal system is cubic. The calculated volume comes out at 4446.8 Å³ per cell. The raw formation energy is -10.64 eV/f.u.

Cell lengths 16.444, 16.444, 16.444 Å; angles 90.00, 90.00, 90.00 degrees
Space group Ia-3d (No. 230)
Unique sites:
Cu: 0.000 0.000 0.000
Cu: 0.000 0.250 0.375
Pb: 0.000 0.250 0.125
Br: 0.031 0.056 0.649

=====

11.
MnFeMo2 after structural relaxation, computed with PBE.

Calculated values
The calculation puts the energy above the most stable polymorph in this dataset at 30 meV/atom. The value obtained for the total energy is -9.68 eV/atom. Its crystal system is cubic. The calculated volume comes out at 219.4 Å³ per cell. The energy of formation from the pure elements is 0.139 eV per atom.

Cell lengths 6.031, 6.031, 6.031 Å; angles 90.00, 90.00, 90.00 degrees
Space group F-43m (No. 216)
Unique sites:
Mn: 0.000 0.000 0.000
Fe: 0.250 0.250 0.250
Mo: 0.000 0.000 0.500
Mo: 0.250 0.250 0.750

=====

12.
SrMo2Au after structural relaxation, computed with PBE.

Calculated values
The calculation puts the energy above the most stable polymorph in this dataset at 541 meV/atom. The value obtained for the total energy is -5.84 eV/atom. Its crystal system is tetragonal. The calculated volume comes out at 164.2 Å³ per cell. The energy of formation from the pure elements is 0.818 eV per atom.

Cell lengths 4.019, 4.019, 10.167 Å; angles 90.00, 90.00, 90.00 degrees
Space group I4/mmm (No. 139)
Unique sites:
Sr: 0.000 0.000 0.000
Mo: 0.000 0.500 0.250
Au: 0.000 0.000 0.500

=====

Q: What is the calculated volume in the third record?
A: 381.6 Å³ per cell

=====

Q: Among the records above, which one has the highest calculated volume?
A: Cu5Pb3Br12

=====

Q: Which formula does entry 8 have?
A: Rb4Tb6F19